ScUMo | PBE | optimized geometry

Cell: 4.5986 4.5986 4.5986 Å, 60.00 60.00 60.00°
Last column: nearest neighbours and their distance in Å.
Fractional coordinates of all 3 atoms:
Sc: 0.2500 0.2500 0.2500  4 Mo 2.82
U: 0.7500 0.7500 0.7500  4 Mo 2.82
Mo: 0.0000 0.0000 0.0000  4 Sc 2.82, 4 U 2.82

Output
Excess energy over the best structure of this formula in the dataset = 0.0 meV/atom
Energy of formation = 1.888 eV per formula unit
Total moment = 0.985 μB/f.u.
Symmetry = F-43m